# PBE LaSb3Pd5, relaxed
# - Density: 9.052 g/cm3
# - Total magnetization: 0.000 μB per cell
# - Electronic total energy: -0.2001 Ha/atom
data_LaSb3Pd5
_chemical_formula_sum 'La4 Sb12 Pd20'
_symmetry_space_group_name_H-M 'C m c m'
_symmetry_Int_Tables_number 63
_symmetry_space_group_name_Hall '-C 2c 2'
_cell_length_a 4.3194
_cell_length_b 14.3945
_cell_length_c 12.2305
_cell_angle_alpha 90.00
_cell_angle_beta 90.00
_cell_angle_gamma 90.00
loop_
_atom_site_label
_atom_site_type_symbol
_atom_site_fract_x
_atom_site_fract_y
_atom_site_fract_z
_atom_site_occupancy
La1 La 0.0000 0.2143 0.2500 1
Sb1 Sb 0.0000 0.1083 0.7500 1
Sb2 Sb 0.0000 0.3793 0.5712 1
Pd1 Pd 0.0000 0.0000 0.0000 1
Pd2 Pd 0.0000 0.1934 0.5447 1
Pd3 Pd 0.0000 0.4357 0.1339 1



# PBE Tl2Cu2Cl5, relaxed
# - Density: 4.881 g/cm3
# - Total magnetization: 2.320 μB per cell
# - Electronic total energy: -0.1173 Ha/atom
data_Tl2Cu2Cl5
_chemical_formula_sum 'Tl8 Cu8 Cl20'
_symmetry_space_group_name_H-M 'I m a 2'
_symmetry_Int_Tables_number 46
_cell_length_a 21.8714
_cell_length_b 6.6540
_cell_length_c 6.6681
_cell_angle_alpha 90.00
_cell_angle_beta 90.00
_cell_angle_gamma 90.00
loop_
_symmetry_equiv_pos_as_xyz
'x,y,z'
'-x,-y,z'
'-x+1/2,y,z'
'x+1/2,-y,z'
'x+1/2,y+1/2,z+1/2'
'-x+1/2,-y+1/2,z+1/2'
'-x,y+1/2,z+1/2'
'x,-y+1/2,z+1/2'
loop_
_atom_site_label
_atom_site_type_symbol
_atom_site_fract_x
_atom_site_fract_y
_atom_site_fract_z
_atom_site_occupancy
Tl1 Tl 0.1141 0.0062 0.0000 1
Cu1 Cu 0.0000 0.0000 0.4990 1
Cu2 Cu 0.2500 0.5776 0.0327 1
Cl1 Cl 0.0009 0.7496 0.2491 1
Cl2 Cl 0.1515 0.0152 0.4796 1
Cl3 Cl 0.2500 0.5990 0.3862 1



# PBE BaTbEuIn, relaxed
# - Density: 6.608 g/cm3
# - Total magnetization: 29.306 μB per cell
# - Electronic total energy: -0.1817 Ha/atom
# - Energy of formation: -0.05 eV/atom
data_BaTbEuIn
_chemical_formula_sum 'Ba4 Tb4 Eu4 In4'
_symmetry_space_group_name_H-M 'F -4 3 m'
_symmetry_Int_Tables_number 216
_symmetry_space_group_name_Hall 'F -4 2 3'
_cell_length_a 8.2717
_cell_length_b 8.2717
_cell_length_c 8.2717
_cell_angle_alpha 90.00
_cell_angle_beta 90.00
_cell_angle_gamma 90.00
loop_
_atom_site_label
_atom_site_type_symbol
_atom_site_fract_x
_atom_site_fract_y
_atom_site_fract_z
_atom_site_occupancy
Ba1 Ba 0.0000 0.0000 0.0000 1
Tb1 Tb 0.0000 0.0000 0.5000 1
Eu1 Eu 0.2500 0.2500 0.7500 1
In1 In 0.2500 0.2500 0.2500 1



# PBE LaScSb2, relaxed
# - Density: 5.931 g/cm3
# - Distance to the lowest polymorph of the same formula: 0.819 eV/atom
# - Total magnetization: 0.000 μB per cell
# - Electronic total energy: -0.1890 Ha/atom
data_LaScSb2
_chemical_formula_sum 'La1 Sc1 Sb2'
_symmetry_space_group_name_H-M 'P 4 m m'
_symmetry_Int_Tables_number 99
_cell_length_a 3.3545
_cell_length_b 3.3545
_cell_length_c 10.6338
_cell_angle_alpha 90.00
_cell_angle_beta 90.00
_cell_angle_gamma 90.00
loop_
_symmetry_equiv_pos_as_xyz
'x,y,z'
'-y,x,z'
'-x,-y,z'
'y,-x,z'
'-x,y,z'
'y,x,z'
'x,-y,z'
'-y,-x,z'
loop_
_atom_site_label
_atom_site_type_symbol
_atom_site_fract_x
_atom_site_fract_y
_atom_site_fract_z
_atom_site_occupancy
La1 La 0.0000 0.0000 0.0000 1
Sc1 Sc 0.5000 0.5000 0.7167 1
Sb1 Sb 0.0000 0.0000 0.5323 1
Sb2 Sb 0.5000 0.5000 0.2259 1



# PBE MnTlCd2, relaxed
# - Density: 9.144 g/cm3
# - Distance to the lowest polymorph of the same formula: 0.080 eV/atom
# - Total magnetization: 7.888 μB per cell
# - Electronic total energy: -0.1120 Ha/atom
# - Energy of formation: 0.29 eV/atom
data_MnTlCd2
_chemical_formula_sum 'Mn2 Tl2 Cd4'
_symmetry_space_group_name_H-M 'C 1 m 1'
_symmetry_Int_Tables_number 8
_cell_length_a 9.8914
_cell_length_b 3.2820
_cell_length_c 5.5114
_cell_angle_alpha 90.00
_cell_angle_beta 100.67
_cell_angle_gamma 90.00
loop_
_symmetry_equiv_pos_as_xyz
'x,y,z'
'x,-y,z'
'x+1/2,y+1/2,z'
'x+1/2,-y+1/2,z'
loop_
_atom_site_label
_atom_site_type_symbol
_atom_site_fract_x
_atom_site_fract_y
_atom_site_fract_z
_atom_site_occupancy
Mn1 Mn 0.0000 0.0000 0.0000 1
Tl1 Tl 0.2511 0.0000 0.7684 1
Cd1 Cd 0.2367 0.5000 0.2423 1
Cd2 Cd 0.4884 0.0000 0.4694 1



# PBE PmPrTlI, relaxed
# - Density: 7.589 g/cm3
# - Distance to the lowest polymorph of the same formula: 0.000 eV/atom
# - Total magnetization: 0.000 μB per cell
# - Electronic total energy: -0.1461 Ha/atom
data_PmPrTlI
_chemical_formula_sum 'Pm3 Pr3 Tl3 I3'
_symmetry_space_group_name_H-M 'R 3 m'
_symmetry_Int_Tables_number 160
_symmetry_space_group_name_Hall 'R 3 -2"'
_cell_length_a 4.5876
_cell_length_b 4.5876
_cell_length_c 22.2296
_cell_angle_alpha 90.00
_cell_angle_beta 90.00
_cell_angle_gamma 120.00
loop_
_atom_site_label
_atom_site_type_symbol
_atom_site_fract_x
_atom_site_fract_y
_atom_site_fract_z
_atom_site_occupancy
Pm1 Pm 0.0000 0.0000 0.0000 1
Pr1 Pr 0.0000 0.0000 0.5152 1
Tl1 Tl 0.0000 0.0000 0.2591 1
I1 I 0.0000 0.0000 0.7562 1



# PBE Tb4Cd2H, relaxed
# - Density: 8.063 g/cm3
# - Total magnetization: 0.000 μB per cell
# - Electronic total energy: -0.1312 Ha/atom
data_Tb4Cd2H
_chemical_formula_sum 'Tb8 Cd4 H2'
_symmetry_space_group_name_H-M 'I 4/m m m'
_symmetry_Int_Tables_number 139
_symmetry_space_group_name_Hall '-I 4 2'
_cell_length_a 4.7507
_cell_length_b 4.7507
_cell_length_c 15.7226
_cell_angle_alpha 90.00
_cell_angle_beta 90.00
_cell_angle_gamma 90.00
loop_
_atom_site_label
_atom_site_type_symbol
_atom_site_fract_x
_atom_site_fract_y
_atom_site_fract_z
_atom_site_occupancy
Tb1 Tb 0.0000 0.0000 0.1774 1
Tb2 Tb 0.0000 0.5000 0.0000 1
Cd1 Cd 0.0000 0.0000 0.3680 1
H1 H 0.0000 0.0000 0.0000 1



# PBE NdTm2Ag2, relaxed
# - Density: 8.604 g/cm3
# - Distance to the lowest polymorph of the same formula: 0.017 eV/atom
# - Total magnetization: 0.720 μB per cell
# - Electronic total energy: -0.1469 Ha/atom
# - Energy of formation: -0.12 eV/atom
data_NdTm2Ag2
_chemical_formula_sum 'Nd2 Tm4 Ag4'
_symmetry_space_group_name_H-M 'C m m m'
_symmetry_Int_Tables_number 65
_symmetry_space_group_name_Hall '-C 2 2'
_cell_length_a 3.5803
_cell_length_b 21.1534
_cell_length_c 3.5566
_cell_angle_alpha 90.00
_cell_angle_beta 90.00
_cell_angle_gamma 90.00
loop_
_atom_site_label
_atom_site_type_symbol
_atom_site_fract_x
_atom_site_fract_y
_atom_site_fract_z
_atom_site_occupancy
Nd1 Nd 0.0000 0.0000 0.0000 1
Tm1 Tm 0.0000 0.1790 0.0000 1
Ag1 Ag 0.0000 0.4005 0.5000 1



# PBE Ag5Ir, relaxed
# - Density: 10.607 g/cm3
# - Distance to the lowest polymorph of the same formula: 0.454 eV/atom
# - Total magnetization: 0.001 μB per cell
# - Electronic total energy: -0.1165 Ha/atom
# - Energy of formation: 0.68 eV/atom
data_Ag5Ir
_chemical_formula_sum 'Ag5 Ir1'
_symmetry_space_group_name_H-M 'P 6/m m m'
_symmetry_Int_Tables_number 191
_symmetry_space_group_name_Hall '-P 6 2'
_cell_length_a 5.2691
_cell_length_b 5.2691
_cell_length_c 4.7631
_cell_angle_alpha 90.00
_cell_angle_beta 90.00
_cell_angle_gamma 120.00
loop_
_atom_site_label
_atom_site_type_symbol
_atom_site_fract_x
_atom_site_fract_y
_atom_site_fract_z
_atom_site_occupancy
Ag1 Ag 0.0000 0.5000 0.0000 1
Ag2 Ag 0.3333 0.6667 0.5000 1
Ir1 Ir 0.0000 0.0000 0.5000 1



# PBE ErIn2Au6, relaxed
# - Density: 14.558 g/cm3
# - Total magnetization: 0.000 μB per cell
# - Electronic total energy: -0.1349 Ha/atom
# - Energy of formation: -0.37 eV/atom
data_ErIn2Au6
_chemical_formula_sum 'Er2 In4 Au12'
_symmetry_space_group_name_H-M 'C 1 2/m 1'
_symmetry_Int_Tables_number 12
_cell_length_a 5.2630
_cell_length_b 15.2895
_cell_length_c 5.1489
_cell_angle_alpha 90.00
_cell_angle_beta 119.63
_cell_angle_gamma 90.00
loop_
_symmetry_equiv_pos_as_xyz
'x,y,z'
'-x,-y,-z'
'-x,y,-z'
'x,-y,z'
'x+1/2,y+1/2,z'
'-x+1/2,-y+1/2,-z'
'-x+1/2,y+1/2,-z'
'x+1/2,-y+1/2,z'
loop_
_atom_site_label
_atom_site_type_symbol
_atom_site_fract_x
_atom_site_fract_y
_atom_site_fract_z
_atom_site_occupancy
Er1 Er 0.0000 0.0000 0.0000 1
In1 In 0.0000 0.1619 0.5000 1
Au1 Au 0.1601 0.5000 0.3282 1
Au2 Au 0.1670 0.3320 0.8325 1